PrHo2Pb9, relaxed, DFT PBE; total DFT energy (no corrections) = -50.92 eV per cell; energy of formation from the pure elements = -3.612 eV/f.u.; SG = P4/mmm
1.0
4.9057 0.0000 0.0000
0.0000 4.9057 0.0000
0.0000 0.0000 14.6509
Pr Ho Pb
1 2 9
Direct
0.0000 0.0000 0.0000
0.0000 0.0000 0.3346
0.0000 0.0000 0.6654
0.5000 0.5000 0.0000
0.5000 0.5000 0.3357
0.5000 0.5000 0.6643
0.5000 0.0000 0.1714
0.5000 0.0000 0.5000
0.5000 0.0000 0.8286
0.0000 0.5000 0.1714
0.0000 0.5000 0.5000
0.0000 0.5000 0.8286


DyPaPd14, relaxed, DFT PBE; total DFT energy (no corrections) = -94.25 eV per cell; energy of formation from the pure elements = -7.448 eV/f.u.; SG = P4/mmm
1.0
5.8156 -0.0124 0.0000
0.0123 5.8156 0.0000
0.0000 0.0000 7.8338
Dy Pa Pd
1 1 14
Direct
0.3750 0.3750 0.5000
0.8750 0.8750 0.5000
0.8750 0.8750 0.0000
0.3750 0.3750 0.0000
0.8750 0.3750 0.5000
0.8750 0.3750 0.0000
0.3750 0.8750 0.5000
0.3750 0.8750 0.0000
0.6286 0.1215 0.2457
0.6286 0.1215 0.7543
0.1215 0.6286 0.2457
0.1215 0.6286 0.7543
0.6285 0.6285 0.2457
0.6285 0.6285 0.7543
0.1215 0.1215 0.2457
0.1215 0.1215 0.7543


Tb7Y12Sn, relaxed, DFT PBE; total DFT energy (no corrections) = -111.33 eV per cell; energy of formation from the pure elements = 2.653 eV/f.u.; SG = R-3
1.0
-4.1741 5.8058 4.9152
-7.6532 -1.9420 -3.5983
-1.7576 -5.9145 6.1008
Tb Y Sn
7 12 1
Direct
0.8560 0.6122 0.9278
0.3878 0.0722 0.1440
0.0722 0.1440 0.3878
0.5000 0.5000 0.5000
0.9278 0.8560 0.6122
0.6122 0.9278 0.8560
0.1440 0.3878 0.0722
0.8681 0.2524 0.7436
0.7476 0.2564 0.1319
0.6120 0.1426 0.5018
0.8574 0.4982 0.3880
0.2564 0.1319 0.7476
0.4982 0.3880 0.8574
0.5018 0.6120 0.1426
0.7436 0.8681 0.2524
0.1426 0.5018 0.6120
0.3880 0.8574 0.4982
0.2524 0.7436 0.8681
0.1319 0.7476 0.2564
0.0000 0.0000 0.0000


P2SeIO, relaxed, DFT PBE; total DFT energy (no corrections) = -15.68 eV per cell; E_form (uncorrected) = 1027 meV per atom; energy relative to the lowest polymorph listed for this composition = 0.392 eV/atom; SG = P4/mmm
1.0
-2.2546 2.8817 3.7327
-3.2042 -3.9718 1.1309
2.5911 -1.3483 2.6060
I P O Se
1 2 1 1
Direct
0.0000 0.0000 0.0000
0.0000 0.5000 0.0000
0.5000 0.0000 0.0000
0.0000 0.0000 0.5000
0.5000 0.5000 0.5000


TlPW2, relaxed, DFT PBE; total DFT energy (no corrections) = -30.18 eV per cell; energy of formation from the pure elements = 3.501 eV/f.u.; energy relative to the lowest polymorph listed for this composition = 0.599 eV/atom; SG = P2/m
1.0
3.1921 0.0000 0.0000
0.0000 4.7821 0.0020
0.0000 1.8198 4.5265
Tl P W
1 1 2
Direct
0.0000 0.5000 0.5000
0.5000 0.0000 0.5000
0.0000 0.0000 0.0000
0.5000 0.5000 0.0000


Tb8HoSc2, relaxed, DFT PBE; total DFT energy (no corrections) = -52.93 eV per cell; energy of formation from the pure elements = 1.353 eV/f.u.; energy relative to the lowest polymorph listed for this composition = 0.000 eV/atom; SG = Immm
1.0
5.1488 0.0000 -1.5634
-1.0060 7.4493 -3.3130
-0.0333 -0.4642 9.1502
Tb Ho Sc
8 1 2
Direct
0.6422 0.8463 0.2843
0.3578 0.5620 0.7157
0.1620 0.1620 0.3241
0.0000 0.3002 0.0000
0.8380 0.8379 0.6759
0.6422 0.4380 0.2843
0.3578 0.1537 0.7157
0.0000 0.6998 0.0000
0.5000 0.0000 0.0000
0.2012 0.7011 0.4023
0.7988 0.2989 0.5977


Ba2ReHg, relaxed, DFT PBE; total DFT energy (no corrections) = -13.80 eV per cell; energy of formation from the pure elements = 2.798 eV/f.u.; SG = Cmmm
1.0
5.8421 -0.0088 0.0000
0.0149 5.8422 0.0000
0.0000 0.0000 3.7505
Re Hg Ba
1 1 2
Direct
0.0000 0.5000 0.5000
0.5000 0.0000 0.5000
0.0000 0.0000 0.0000
0.5000 0.5000 0.0000


Th6CoPt5, relaxed, DFT PBE; total DFT energy (no corrections) = -94.33 eV per cell; energy of formation from the pure elements = -12.506 eV/f.u.; SG = C2/m
1.0
-1.3466 3.8814 -5.8652
0.7683 -7.0911 -0.6366
-6.5029 0.2129 3.0770
Co Pt Th
1 5 6
Direct
0.0000 0.0000 0.0000
0.8272 0.1728 0.5000
0.6656 0.3344 0.0000
0.5000 0.5000 0.5000
0.3344 0.6656 0.0000
0.1728 0.8272 0.5000
0.3980 0.0793 0.2398
0.9207 0.6020 0.7602
0.2372 0.2372 0.7536
0.7628 0.7628 0.2464
0.0793 0.3980 0.2398
0.6020 0.9207 0.7602


W5Br, relaxed, DFT PBE; total DFT energy (no corrections) = -62.09 eV per cell; E_form (uncorrected) = 725 meV per atom; energy relative to the lowest polymorph listed for this composition = 0.234 eV/atom; SG = Cm
1.0
-5.8055 0.8703 -0.5309
-5.5128 -1.3536 1.5874
-1.5152 3.8893 4.2927
W Br
5 1
Direct
0.6707 0.6707 0.6353
0.3318 0.3318 0.3343
0.3779 0.3779 0.7494
0.0442 0.0442 0.3957
0.7200 0.7200 0.0860
0.0221 0.0221 0.9661


Sm2ZnGe, relaxed, DFT PBE; total DFT energy (no corrections) = -35.34 eV per cell; energy of formation from the pure elements = -2.342 eV/f.u.; SG = P2_1/m
1.0
-3.4876 2.2452 -0.0381
-0.3692 -0.6742 -5.9329
-4.1288 -6.3442 4.0774
Sm Zn Ge
4 2 2
Direct
0.7500 0.2128 0.4237
0.2500 0.7872 0.5763
0.2500 0.7802 0.0647
0.7500 0.2198 0.9353
0.2500 0.3683 0.2173
0.7500 0.6317 0.7827
0.7500 0.6576 0.2915
0.2500 0.3424 0.7085


As2Se2Br, relaxed, DFT PBE; total DFT energy (no corrections) = -35.77 eV per cell; E_form (uncorrected) = 11 meV per atom; energy relative to the lowest polymorph listed for this composition = 0.060 eV/atom; SG = P4/mbm
1.0
8.4744 0.0000 0.0000
0.0000 8.4744 0.0000
0.0000 0.0000 3.6271
As Se Br
4 4 2
Direct
0.2744 0.7744 0.0000
0.7744 0.7256 0.0000
0.7256 0.2256 0.0000
0.2256 0.2744 0.0000
0.1385 0.6385 0.5000
0.6385 0.8615 0.5000
0.8615 0.3615 0.5000
0.3615 0.1385 0.5000
0.0000 0.0000 0.0000
0.5000 0.5000 0.0000


HfZrTeI2, relaxed, DFT PBE; total DFT energy (no corrections) = -22.85 eV per cell; E_form (uncorrected) = 379 meV per atom; energy relative to the lowest polymorph listed for this composition = 0.000 eV/atom; SG = P4/mmm
1.0
5.5651 0.0000 0.0000
0.0000 5.5651 0.0000
0.0000 0.0000 5.6164
I Te Hf Zr
2 1 1 1
Direct
0.0000 0.5000 0.0000
0.5000 0.0000 0.0000
0.0000 0.0000 0.5000
0.0000 0.0000 0.0000
0.5000 0.5000 0.5000


Among the records above, which one has the highest total DFT energy (no corrections)?
Ba2ReHg


Which value of total DFT energy (no corrections) does entry 8 give?
-94.33 eV per cell


Look up the total DFT energy (no corrections) of the third one.
-111.33 eV per cell